# LaDy7Er5, relaxed, DFT PBE
# ΔE_f in meV/atom: 246
data_LaDy7Er5
_space_group_name_H-M_alt 'I m m 2'
_space_group_IT_number 44
_space_group_name_Hall 'I 2 -2'
_cell_length_a 6.640
_cell_length_b 11.176
_cell_length_c 11.529
_cell_angle_alpha 90.00
_cell_angle_beta 90.00
_cell_angle_gamma 90.00
loop_
_atom_site_label
_atom_site_type_symbol
_atom_site_fract_x
_atom_site_fract_y
_atom_site_fract_z
La1 La 0.000 0.000 0.000
Dy1 Dy 0.000 0.000 0.298
Dy2 Dy 0.000 0.000 0.607
Dy3 Dy 0.000 0.328 0.050
Dy4 Dy 0.000 0.330 0.552
Dy5 Dy 0.000 0.500 0.294
Er1 Er 0.000 0.500 0.804
Er2 Er 0.237 0.232 0.800

# La3Dy2Er, relaxed, DFT PBE
# Energy above the lowest structure with this stoichiometry in eV per atom: 0.253
# ΔE_f in meV/atom: 329
data_La3Dy2Er
_space_group_name_H-M_alt 'I m m m'
_space_group_IT_number 71
_space_group_name_Hall '-I 2 2'
_cell_length_a 3.477
_cell_length_b 6.027
_cell_length_c 19.724
_cell_angle_alpha 90.00
_cell_angle_beta 90.00
_cell_angle_gamma 90.00
loop_
_atom_site_label
_atom_site_type_symbol
_atom_site_fract_x
_atom_site_fract_y
_atom_site_fract_z
La1 La 0.000 0.000 0.000
La2 La 0.000 0.500 0.187
Dy1 Dy 0.000 0.500 0.363
Er1 Er 0.000 0.500 0.000

Across the entries above, magnetic moment takes the values 0.00; 0.00 μB per atom, respectively.
Across the entries above, total DFT energy (no corrections) takes the values -113.51; -53.15 eV per cell, respectively.
Across the entries above, volume takes the values 32.90; 34.44 Å³/atom, respectively.